(1)
The following is a GGA-PBE calculation of an optimized crystal structure of Ca2MgHg, from Alexandria.

As for the total energy: -1.78 eV/atom. As for the density of states at the Fermi level: 10.54 states/eV/cell. The energy above the lowest structure with this stoichiometry comes out at 19 meV per atom. Its formation enthalpy at 0 K is -29.3 kJ/mol of atoms.

It has space group Fm-3m (No. 225), with a = 7.7102 Å, b = 7.7102 Å, c = 7.7102 Å, α = 90.00°, β = 90.00° and γ = 90.00°. The inequivalent atoms are Ca at (0.2500, 0.2500, 0.2500), Mg at (0.0000, 0.0000, 0.0000) and Hg at (0.0000, 0.0000, 0.5000).

***

(2)
The following is a GGA-PBE calculation of an optimized crystal structure of AcPS2, from Alexandria.

As for the total energy: -4.60 eV/atom. The calculation puts the uncorrected formation energy at -159 meV/atom. As for the density of states at the Fermi level: 6.19 states/eV/cell.

It has space group R-3m (No. 166, hexagonal axes), with a = 3.7051 Å, b = 3.7051 Å, c = 25.4824 Å, α = 90.00°, β = 90.00° and γ = 120.00°. The inequivalent atoms are Ac at (0.0000, 0.0000, 0.0000), P at (0.0000, 0.0000, 0.5000) and S at (0.0000, 0.0000, 0.1153).